one:
MnAlS3: relaxed, PBE-GGA.

```
5
Lattice="-3.415 2.945 0.858 -3.035 -3.430 -0.306 0.444 -0.795 4.499" Properties=species:S:1:pos:R:3 pbc="T T T"
S -1.517 -1.715 -0.153
S 0.222 -0.397 2.250
S -1.707 1.473 0.429
Mn -3.003 -0.640 2.525
Al 0.000 0.000 0.000
```

Crystal system: cubic
Total moment: 4.70 μB per formula unit


two:
MnAlS3: relaxed, PBE-GGA.

```
5
Lattice="4.540 0.000 0.000 0.000 4.540 0.000 0.000 0.000 4.540" Properties=species:S:1:pos:R:3 pbc="T T T"
S 0.000 2.270 0.000
S 0.000 0.000 2.270
S 2.270 0.000 0.000
Mn 0.000 0.000 0.000
Al 2.270 2.270 2.270
```

Crystal system: cubic
Total moment: 3.05 μB per formula unit


Most stable = one


one:
MnAlS3: relaxed, PBE-GGA.

```
10
Lattice="-0.407 -3.465 -0.300 5.706 0.796 3.495 -6.101 -0.012 8.400" Properties=species:S:1:pos:R:3 pbc="T T T"
Mn -4.270 -2.009 8.543
Mn 3.468 -0.672 3.052
Al 0.039 -2.534 8.768
Al -0.841 -0.146 2.827
S 0.301 -0.696 7.621
S -1.103 -1.985 3.974
S -2.076 -2.381 9.868
S 1.274 -0.299 1.727
S -3.643 -0.196 7.190
S 2.841 -2.485 4.405
```

Crystal system: monoclinic
Total moment: 3.99 μB per formula unit


two:
MnAlS3: relaxed, PBE-GGA.

```
10
Lattice="-3.218 0.511 1.325 1.486 -3.256 4.867 2.052 12.505 0.157" Properties=species:S:1:pos:R:3 pbc="T T T"
Mn -0.219 1.836 1.095
Mn 0.539 7.924 5.254
Al 0.992 8.857 1.325
Al -0.672 0.903 5.024
S 1.308 11.143 1.209
S -0.988 -1.383 5.139
S 0.007 4.400 0.653
S 0.313 5.360 5.696
S 1.556 7.656 3.158
S -1.236 2.104 3.191
```

Crystal system: monoclinic
Total moment: 4.00 μB per formula unit


Most stable = two


one:
Mn2AlS4: relaxed, PBE-GGA.

```
28
Lattice="7.197 0.000 0.000 -3.599 5.895 -2.056 0.000 -0.084 12.483" Properties=species:S:1:pos:R:3 pbc="T T T"
S -0.075 4.441 -0.025
S 3.523 4.400 6.216
S 0.076 1.411 4.211
S 3.674 1.370 10.452
S -1.799 4.483 3.140
S 1.799 4.441 9.381
S 1.799 4.416 3.223
S -1.799 4.374 9.464
S 3.674 4.442 -0.025
S 0.075 4.399 6.216
S 5.398 1.437 0.962
S 1.799 1.395 7.204
S 1.800 1.370 1.046
S 5.397 1.328 7.287
S 3.523 1.412 4.211
S -0.076 1.369 10.452
Mn 3.599 0.000 0.000
Mn 0.000 -0.042 6.241
Mn -1.799 2.947 -1.028
Mn 1.799 2.905 5.213
Mn 1.800 -0.021 3.121
Mn 5.397 -0.063 9.362
Mn 3.599 -0.042 6.241
Mn 0.000 0.000 0.000
Al 5.398 2.185 3.130
Al 1.799 2.143 9.371
Al 1.800 3.667 1.056
Al -1.800 3.625 7.297
```

Crystal system: tetragonal
Total moment: 8.83 μB per formula unit


two:
Mn2AlS4: relaxed, PBE-GGA.

```
14
Lattice="4.297 -2.799 -4.763 4.823 -0.763 5.014 -6.371 -2.793 0.774" Properties=species:S:1:pos:R:3 pbc="T T T"
Mn 1.375 -3.177 0.512
Mn -1.037 -2.796 -1.995
Mn 2.149 -1.400 -2.382
Mn 0.000 0.000 0.000
Al 4.560 -1.781 0.126
Al -0.774 -1.778 2.894
S 2.282 -1.060 -0.041
S -0.830 -2.355 0.506
S 1.355 -3.561 -1.825
S 4.325 -2.288 -2.267
S 1.394 -2.794 2.850
S 3.580 -4.000 0.519
S -1.576 -4.066 3.292
S 0.467 -5.294 1.066
```

Crystal system: orthorhombic
Total moment: 7.00 μB per formula unit


Most stable = one


one:
MnAl3S6: relaxed, PBE-GGA.

```
10
Lattice="5.334 0.000 2.755 1.955 4.962 2.755 -0.048 -0.033 6.633" Properties=species:S:1:pos:R:3 pbc="T T T"
Mn 1.244 0.847 4.132
Al 3.835 2.611 5.657
Al 2.518 1.714 8.207
Al 6.156 4.191 7.703
S 2.542 0.563 6.055
S 2.085 3.755 6.941
S 4.886 2.159 7.827
S 4.928 4.729 5.680
S 5.567 1.228 4.778
S 2.443 2.852 3.736
```

Crystal system: trigonal
Total moment: 1.99 μB per formula unit


two:
MnAl3S6: relaxed, PBE-GGA.

```
20
Lattice="-0.526 -6.281 3.266 1.561 -3.350 -6.061 6.913 0.188 1.606" Properties=species:S:1:pos:R:3 pbc="T T T"
Mn 0.000 0.000 0.000
Mn 3.973 -4.721 -0.595
Al 6.446 -5.734 -2.945
Al 3.754 -8.263 -0.860
Al 1.262 -3.378 -2.466
Al 6.685 -6.065 1.277
Al 4.193 -1.180 -0.330
Al 1.501 -3.708 1.755
S 1.806 -4.998 -4.441
S 6.182 -3.469 -4.217
S 4.092 -6.368 -2.218
S 1.154 -8.099 -1.052
S 6.276 -4.704 -0.833
S 3.538 -2.956 -2.028
S 4.409 -6.486 0.839
S 1.671 -4.738 -0.357
S 6.793 -1.343 -0.138
S 3.855 -3.075 1.028
S 1.765 -5.974 3.028
S 6.140 -4.445 3.252
```

Crystal system: trigonal
Total moment: 1.99 μB per formula unit


Most stable = one


one:
MnAlSb2Te: relaxed, PBE-GGA.

```
5
Lattice="-1.992 3.888 2.490 -4.603 -1.883 -0.742 0.387 -2.776 4.644" Properties=species:S:1:pos:R:3 pbc="T T T"
Sb -2.301 -0.941 -0.371
Sb -0.996 1.944 1.245
Te 0.194 -1.388 2.322
Al -3.104 -0.386 3.196
Mn 0.000 0.000 0.000
```

Crystal system: tetragonal
Total moment: 2.66 μB per formula unit


two:
MnAlSb2Te: relaxed, PBE-GGA.

```
5
Lattice="5.192 0.000 0.000 0.000 5.192 0.000 0.000 0.000 5.294" Properties=species:S:1:pos:R:3 pbc="T T T"
Sb 0.000 2.596 0.000
Sb 2.596 0.000 0.000
Te 0.000 0.000 2.647
Al 0.000 0.000 0.000
Mn 2.596 2.596 2.647
```

Crystal system: tetragonal
Total moment: 0.25 μB per formula unit


Most stable = one


one:
ScMn2Al2: relaxed, PBE-GGA.

```
5
Lattice="-0.572 -0.685 3.676 -2.736 -2.459 -0.884 2.247 -5.845 1.207" Properties=species:S:1:pos:R:3 pbc="T T T"
Sc 0.000 0.000 0.000
Mn 0.011 -4.051 3.140
Mn -1.071 -4.938 0.860
Al -0.794 -2.514 1.355
Al -0.266 -6.475 2.645
```

Crystal system: tetragonal
Total moment: 4.58 μB per formula unit


two:
ScMn2Al2: relaxed, PBE-GGA.

```
10
Lattice="7.411 0.000 0.000 0.000 7.411 0.000 0.000 0.000 2.769" Properties=species:S:1:pos:R:3 pbc="T T T"
Sc 0.000 0.000 0.000
Sc 3.706 3.706 0.000
Mn 2.802 6.507 0.000
Mn 6.507 4.609 0.000
Mn 4.609 0.904 0.000
Mn 0.904 2.802 0.000
Al 1.267 4.972 1.385
Al 4.972 6.144 1.385
Al 6.144 2.439 1.385
Al 2.439 1.267 1.385
```

Crystal system: tetragonal
Total moment: 4.49 μB per formula unit


three:
ScMn2Al2: relaxed, PBE-GGA.

```
10
Lattice="-4.979 0.412 5.290 -4.548 -4.067 -3.965 1.082 -2.384 1.204" Properties=species:S:1:pos:R:3 pbc="T T T"
Sc 0.000 0.000 0.000
Sc -4.764 -1.828 0.663
Mn -3.366 -3.852 -1.153
Mn -6.570 -4.285 0.869
Mn -5.079 -2.187 3.682
Mn -1.875 -1.754 1.660
Al -5.841 -3.402 -1.486
Al -7.199 -2.184 2.145
Al -3.686 -0.253 2.811
Al -2.328 -1.471 -0.820
```

Crystal system: tetragonal
Total moment: 3.91 μB per formula unit


Most stable = three